Entry 1:
! SrMg2Pb | the Alexandria database | SCAN | single point on PBEsol structure; values from VASP
! - DFT formation energy: -0.13 eV per atom
! - SG: No. 12
! - Calculated volume: 116.4 Å³ per cell
&SYSTEM
  ibrav = 0, nat = 4, ntyp = 3
/
ATOMIC_SPECIES
Mg 24.30 Mg.upf
Sr 87.62 Sr.upf
Pb 207.20 Pb.upf
CELL_PARAMETERS angstrom
3.419 -0.007 0.000
-0.227 5.801 0.000
-1.596 -2.897 5.870
ATOMIC_POSITIONS crystal
Mg 0.500 0.500 0.500
Mg 0.000 0.000 0.500
Sr 0.500 0.000 0.000
Pb 0.000 0.500 0.000



Entry 2:
! CdMo2CS | the Alexandria database | SCAN | single point on PBEsol structure; values from VASP
! - SG: No. 123
! - Formation energy without anion corrections: 2077 meV/atom
! - Calculated volume: 90.4 Å³ per cell
&SYSTEM
  ibrav = 0, nat = 5, ntyp = 4
/
ATOMIC_SPECIES
C 12.01 C.upf
Cd 112.41 Cd.upf
Mo 95.94 Mo.upf
S 32.06 S.upf
CELL_PARAMETERS angstrom
4.342 0.000 0.000
0.000 4.342 0.000
0.000 0.000 4.797
ATOMIC_POSITIONS crystal
C 0.500 0.500 0.500
Cd 0.000 0.000 0.500
Mo 0.500 0.000 0.000
Mo 0.000 0.500 0.000
S 0.000 0.000 0.000



Entry 3:
! CuRe2P | the Alexandria database | SCAN | single point on PBEsol structure; values from VASP
! - DFT formation energy: 0.21 eV per atom
! - SG: No. 166
! - Calculated volume: 53.4 Å³ per cell
&SYSTEM
  ibrav = 0, nat = 4, ntyp = 3
/
ATOMIC_SPECIES
Re 186.21 Re.upf
P 30.97 P.upf
Cu 63.55 Cu.upf
CELL_PARAMETERS angstrom
-1.511 -2.335 -0.174
1.029 -2.401 0.970
-3.329 -0.058 7.392
ATOMIC_POSITIONS crystal
Re 0.256 0.256 0.232
Re 0.744 0.744 0.768
P 0.000 0.000 0.000
Cu 0.500 0.500 0.500



Entry 4:
! Nb3SbAs | the Alexandria database | SCAN | single point on PBEsol structure; values from VASP
! - SG: No. 221
! - Formation energy without anion corrections: 1607 meV/atom
! - Calculated volume: 123.8 Å³ per cell
&SYSTEM
  ibrav = 0, nat = 5, ntyp = 3
/
ATOMIC_SPECIES
As 74.92 As.upf
Nb 92.91 Nb.upf
Sb 121.76 Sb.upf
CELL_PARAMETERS angstrom
4.984 0.000 0.000
0.000 4.984 0.000
0.000 0.000 4.984
ATOMIC_POSITIONS crystal
As 0.500 0.500 0.500
Nb 0.000 0.500 0.000
Nb 0.500 0.000 0.000
Nb 0.000 0.000 0.500
Sb 0.000 0.000 0.000



Entry 5:
! CaAu3 | the Alexandria database | SCAN | single point on PBEsol structure; values from VASP
! - DFT formation energy: -0.57 eV per atom
! - SG: No. 221
! - Calculated volume: 75.8 Å³ per cell
&SYSTEM
  ibrav = 0, nat = 4, ntyp = 2
/
ATOMIC_SPECIES
Au 196.97 Au.upf
Ca 40.08 Ca.upf
CELL_PARAMETERS angstrom
-1.947 -1.695 -3.354
2.730 -3.234 0.050
-2.583 -2.140 2.581
ATOMIC_POSITIONS crystal
Au 0.500 0.500 0.000
Au 0.000 0.500 0.500
Au 0.500 0.000 0.500
Ca 0.000 0.000 0.000



Entry 6:
! AlCr2Cl | the Alexandria database | SCAN | single point on PBEsol structure; values from VASP
! - SG: No. 216
! - Formation energy without anion corrections: 484 meV/atom
! - Calculated volume: 61.2 Å³ per cell
&SYSTEM
  ibrav = 0, nat = 4, ntyp = 3
/
ATOMIC_SPECIES
Cr 52.00 Cr.upf
Al 26.98 Al.upf
Cl 35.45 Cl.upf
CELL_PARAMETERS angstrom
4.422 0.000 0.000
2.211 3.830 0.000
2.211 1.277 3.611
ATOMIC_POSITIONS crystal
Cr 0.000 0.000 0.000
Cr 0.750 0.750 0.750
Al 0.500 0.500 0.500
Cl 0.250 0.250 0.250



Entry 7:
! TaFe4 | the Alexandria database | SCAN | single point on PBEsol structure; values from VASP
! - DFT formation energy: -0.07 eV per atom
! - SG: No. 87
! - Calculated volume: 60.9 Å³ per cell
&SYSTEM
  ibrav = 0, nat = 5, ntyp = 2
/
ATOMIC_SPECIES
Fe 55.84 Fe.upf
Ta 180.95 Ta.upf
CELL_PARAMETERS angstrom
2.973 0.000 0.000
1.487 4.524 0.000
1.487 0.000 4.524
ATOMIC_POSITIONS crystal
Fe 0.397 0.414 0.792
Fe 0.603 0.586 0.208
Fe 0.811 0.792 0.586
Fe 0.189 0.208 0.414
Ta 0.000 0.000 0.000



Entry 8:
! SrCaCl2 | the Alexandria database | SCAN | single point on PBEsol structure; values from VASP
! - SG: No. 166
! - Formation energy without anion corrections: -1859 meV/atom
! - Calculated volume: 142.9 Å³ per cell
&SYSTEM
  ibrav = 0, nat = 4, ntyp = 3
/
ATOMIC_SPECIES
Cl 35.45 Cl.upf
Ca 40.08 Ca.upf
Sr 87.62 Sr.upf
CELL_PARAMETERS angstrom
4.634 0.000 0.000
2.317 4.014 0.000
2.317 1.338 7.684
ATOMIC_POSITIONS crystal
Cl 0.882 0.882 0.353
Cl 0.118 0.118 0.647
Ca 0.000 0.000 0.000
Sr 0.500 0.500 0.500



Entry 9:
! Zr2BeOs | the Alexandria database | SCAN | single point on PBEsol structure; values from VASP
! - DFT formation energy: -0.26 eV per atom
! - SG: No. 99
! - Calculated volume: 65.7 Å³ per cell
&SYSTEM
  ibrav = 0, nat = 4, ntyp = 3
/
ATOMIC_SPECIES
Be 9.01 Be.upf
Zr 91.22 Zr.upf
Os 190.23 Os.upf
CELL_PARAMETERS angstrom
-0.123 -2.234 -2.242
2.524 -1.423 1.280
-3.947 -3.587 3.793
ATOMIC_POSITIONS crystal
Be 0.000 0.000 0.553
Zr 0.000 0.000 0.965
Zr 0.500 0.500 0.290
Os 0.500 0.500 0.692



Entry 10:
! MgAu | the Alexandria database | SCAN | single point on PBEsol structure; values from VASP
! - DFT formation energy: -0.67 eV per atom
! - SG: No. 57
! - Calculated volume: 429.5 Å³ per cell
&SYSTEM
  ibrav = 0, nat = 24, ntyp = 2
/
ATOMIC_SPECIES
Mg 24.30 Mg.upf
Au 196.97 Au.upf
CELL_PARAMETERS angstrom
-0.761 1.648 -5.347
-6.255 -5.042 -0.664
-5.815 6.828 2.932
ATOMIC_POSITIONS crystal
Mg 0.000 0.250 0.622
Mg 0.750 0.453 0.876
Mg 0.250 0.047 0.876
Mg 0.000 0.750 0.378
Mg 0.500 0.750 0.378
Mg 0.250 0.547 0.124
Mg 0.750 0.375 0.335
Mg 0.250 0.625 0.665
Mg 0.750 0.953 0.124
Mg 0.500 0.250 0.622
Mg 0.250 0.125 0.335
Mg 0.750 0.875 0.665
Au 0.750 0.615 0.144
Au 0.750 0.551 0.583
Au 0.250 0.449 0.417
Au 0.000 0.750 0.903
Au 0.750 0.051 0.417
Au 0.250 0.385 0.856
Au 0.500 0.250 0.097
Au 0.750 0.115 0.856
Au 0.500 0.750 0.903
Au 0.000 0.250 0.097
Au 0.250 0.949 0.583
Au 0.250 0.885 0.144



Entry 11:
! Cd2TeCl | the Alexandria database | SCAN | single point on PBEsol structure; values from VASP
! - SG: No. 119
! - Formation energy without anion corrections: -279 meV/atom
! - Calculated volume: 103.7 Å³ per cell
&SYSTEM
  ibrav = 0, nat = 4, ntyp = 3
/
ATOMIC_SPECIES
Cl 35.45 Cl.upf
Te 127.60 Te.upf
Cd 112.41 Cd.upf
CELL_PARAMETERS angstrom
4.045 0.000 0.000
0.000 4.045 0.000
-2.022 -2.022 6.340
ATOMIC_POSITIONS crystal
Cl 0.500 0.500 0.000
Te 0.250 0.750 0.500
Cd 0.000 0.000 0.000
Cd 0.750 0.250 0.500



Entry 12:
! LiMg | the Alexandria database | SCAN | single point on PBEsol structure; values from VASP
! - DFT formation energy: -0.05 eV per atom
! - SG: No. 221
! - Calculated volume: 39.1 Å³ per cell
&SYSTEM
  ibrav = 0, nat = 2, ntyp = 2
/
ATOMIC_SPECIES
Li 6.94 Li.upf
Mg 24.30 Mg.upf
CELL_PARAMETERS angstrom
-1.948 0.310 -2.761
-2.620 -1.328 1.699
-0.926 3.111 1.003
ATOMIC_POSITIONS crystal
Li 0.000 0.000 0.000
Mg 0.500 0.500 0.500



Which of these has the lowest calculated volume? LiMg